Entry 1:
This record from the Alexandria database describes a PBEsol-optimized structure of CaRhPb3. The functional is SCAN.

Structure (POSCAR):
```
CaRhPb3
1.0
-2.8732 4.1464 -2.2102
-0.2013 -2.6969 -4.7978
-4.6944 -2.4221 1.5585
Pb Ca Rh
3 1 1
direct
0.0000 0.5000 0.0000
0.0000 0.0000 0.5000
0.5000 0.0000 0.0000
0.0000 0.0000 0.0000
0.5000 0.5000 0.5000
```

Calculated values
uncorrected energy: -264.6 eV/f.u.
formation enthalpy at 0 K: 1246 meV/atom

Entry 2:
This record from the Alexandria database describes a PBEsol-optimized structure of CaRh2Pb2. The functional is SCAN.

Structure (POSCAR):
```
CaRh2Pb2
1.0
4.3467 0.0000 0.0000
0.0000 4.3467 0.0000
-2.1734 -2.1734 5.9488
Pb Ca Rh
2 1 2
direct
0.3748 0.3748 0.7496
0.6252 0.6252 0.2504
0.0000 0.0000 0.0000
0.2500 0.7500 0.5000
0.7500 0.2500 0.5000
```

Calculated values
uncorrected energy: -230.4 eV/f.u.
formation enthalpy at 0 K: -332 meV/atom

Entry 3:
This record from the Alexandria database describes a PBEsol-optimized structure of CaRh4Pb. The functional is SCAN.

Structure (POSCAR):
```
CaRh4Pb
1.0
-0.2846 3.2299 -4.1150
-1.7139 -1.7851 -4.6176
-4.6722 1.5144 -1.8232
Ca Pb Rh
1 1 4
direct
0.7500 0.7500 0.7500
0.0000 0.0000 0.0000
0.3746 0.3746 0.3746
0.3746 0.3746 0.8763
0.8763 0.3746 0.3746
0.3746 0.8763 0.3746
```

Calculated values
uncorrected energy: -221.6 eV/f.u.
formation enthalpy at 0 K: -180 meV/atom

Entry 4:
This record from the Alexandria database describes a PBEsol-optimized structure of CaRuPb3. The functional is SCAN.

Structure (POSCAR):
```
CaRuPb3
1.0
5.5421 0.0000 0.0000
0.0000 5.5421 0.0000
0.0000 0.0000 5.5421
Pb Ru Ca
3 1 1
direct
0.0000 0.5000 0.0000
0.0000 0.0000 0.5000
0.5000 0.0000 0.0000
0.5000 0.5000 0.5000
0.0000 0.0000 0.0000
```

Calculated values
uncorrected energy: -264.9 eV/f.u.
formation enthalpy at 0 K: 1393 meV/atom

Entry 5:
This record from the Alexandria database describes a PBEsol-optimized structure of CaRuPb2. The functional is SCAN.

Structure (POSCAR):
```
CaRuPb2
1.0
3.4787 0.0000 0.0000
-1.7394 4.5279 0.0315
0.0000 -1.3801 5.8286
Ca Pb Ru
1 2 1
direct
0.0000 0.0000 0.5000
0.7665 0.5330 0.7938
0.2335 0.4670 0.2062
0.5000 0.0000 0.0000
```

Calculated values
uncorrected energy: -196.2 eV/f.u.
formation enthalpy at 0 K: -43 meV/atom

Entry 6:
This record from the Alexandria database describes a PBEsol-optimized structure of CaTaRuPb2. The functional is SCAN.

Structure (POSCAR):
```
CaTaRuPb2
1.0
5.3384 0.0000 0.0000
0.0000 5.3384 0.0000
0.0000 0.0000 5.2973
Pb Ru Ca Ta
2 1 1 1
direct
0.0000 0.5000 0.0000
0.5000 0.0000 0.0000
0.5000 0.5000 0.5000
0.0000 0.0000 0.5000
0.0000 0.0000 0.0000
```

Calculated values
uncorrected energy: -255.8 eV/f.u.
formation enthalpy at 0 K: 1358 meV/atom

Entry 7:
This record from the Alexandria database describes a PBEsol-optimized structure of Ca3PbS. The functional is SCAN.

Structure (POSCAR):
```
Ca3PbS
1.0
-5.6058 0.7524 1.1740
-1.1951 -0.0867 -5.6510
-0.7184 -5.7267 0.2398
Pb Ca S
1 3 1
direct
0.0000 0.0000 0.0000
0.0000 0.5000 0.0000
0.0000 0.0000 0.5000
0.5000 0.0000 0.0000
0.5000 0.5000 0.5000
```

Calculated values
uncorrected energy: -116.6 eV/f.u.
formation energy (no corrections): -447 meV/atom

Entry 8:
This record from the Alexandria database describes a PBEsol-optimized structure of CaSbPb3. The functional is SCAN.

Structure (POSCAR):
```
CaSbPb3
1.0
5.7745 0.0000 0.0000
0.0000 5.7745 0.0000
0.0000 0.0000 5.7745
Pb Sb Ca
3 1 1
direct
0.0000 0.5000 0.0000
0.0000 0.0000 0.5000
0.5000 0.0000 0.0000
0.0000 0.0000 0.0000
0.5000 0.5000 0.5000
```

Calculated values
uncorrected energy: -272.8 eV/f.u.
formation energy (no corrections): 285 meV/atom